A relaxed LiP2C crystal, computed with PBE.

Results
The calculation puts the total magnetic moment at 0.00 μB per formula unit. For the calculated total energy, the calculation gives -0.19110 hartree per atom.

Cell lengths 5.2215, 5.2215, 5.2215 Å; angles 114.27, 114.27, 100.25 degrees
Fractional positions:
1 Li 0.0000 0.0000 0.0000
2 Li 0.7500 0.2500 0.5000
3 P 0.2090 0.6250 0.0840
4 P 0.3750 0.4590 0.5840
5 P 0.5410 0.1250 0.9160
6 P 0.8750 0.7910 0.4160
7 C 0.2500 0.7500 0.5000
8 C 0.5000 0.5000 0.0000


A relaxed Zn2OsPt crystal, computed with PBE.

Results
The calculation puts the total magnetic moment at 0.00 μB per formula unit. For the calculated total energy, the calculation gives -0.18123 hartree per atom.

Cell lengths 2.6830, 4.2084, 5.2670 Å; angles 90.00, 104.75, 90.00 degrees
Fractional positions:
1 Zn 0.0000 0.0000 0.0000
2 Zn 0.1430 0.5000 0.2802
3 Os 0.7429 0.0000 0.4821
4 Pt 0.3958 0.5000 0.7889


| no. | V (Å³ per cell) | DOS at the Fermi energy (states/eV per cell) |
| --- | --- | --- |
| 1 | 108 | 4.6 |
| 2 | 58 | 2.9 |